[1]
# LiCuAu6 (PBE-GGA, optimized geometry)
# Energy above the lowest structure with this stoichiometry ... 0.000 eV per atom
data_LiCuAu6
_cell_length_a 4.056
_cell_length_b 4.056
_cell_length_c 8.156
_cell_angle_alpha 90.00
_cell_angle_beta 90.00
_cell_angle_gamma 90.00
_space_group_name_H-M_alt 'P 1'
_space_group_IT_number 1
loop_
_space_group_symop_operation_xyz
'x,y,z'
loop_
_atom_site_label
_atom_site_fract_x
_atom_site_fract_y
_atom_site_fract_z
Au1 0.500 0.000 0.249
Au2 0.000 0.500 0.751
Au3 0.500 0.000 0.751
Au4 0.500 0.500 0.000
Au5 0.000 0.500 0.249
Au6 0.500 0.500 0.500
Li1 0.000 0.000 0.500
Cu1 0.000 0.000 0.000

=====

[2]
# Li6CuAu (PBE-GGA, optimized geometry)
# Energy above the lowest structure with this stoichiometry ... 0.021 eV per atom
data_Li6CuAu
_cell_length_a 4.903
_cell_length_b 4.903
_cell_length_c 6.285
_cell_angle_alpha 104.02
_cell_angle_beta 104.02
_cell_angle_gamma 112.27
_space_group_name_H-M_alt 'P 1'
_space_group_IT_number 1
loop_
_space_group_symop_operation_xyz
'x,y,z'
loop_
_atom_site_label
_atom_site_fract_x
_atom_site_fract_y
_atom_site_fract_z
Li1 0.252 0.252 0.503
Li2 0.887 0.387 0.774
Li3 0.113 0.613 0.226
Li4 0.748 0.748 0.497
Li5 0.387 0.887 0.774
Li6 0.613 0.113 0.226
Cu1 0.000 0.000 0.000
Au1 0.500 0.500 0.000

=====

[3]
Computed, not measured: crystalline Li5Cu3Au3 at its relaxed geometry at the PBE-GGA level of DFT.

```
data_Li5Cu3Au3
_cell_length_a 2.739
_cell_length_b 8.744
_cell_length_c 8.744
_cell_angle_alpha 120.00
_cell_angle_beta 90.00
_cell_angle_gamma 90.00
_space_group_name_H-M_alt 'P 1'
_space_group_IT_number 1
loop_
_space_group_symop_operation_xyz
'x,y,z'
loop_
_atom_site_label
_atom_site_fract_x
_atom_site_fract_y
_atom_site_fract_z
Cu1 0.500 0.159 0.159
Cu2 0.500 0.841 0.000
Cu3 0.500 0.000 0.841
Au1 0.000 0.588 0.000
Au2 0.000 0.412 0.412
Au3 0.000 0.000 0.588
Li1 0.500 0.667 0.333
Li2 0.500 0.333 0.667
Li3 0.500 0.669 0.669
Li4 0.500 0.331 0.000
Li5 0.500 0.000 0.331
```

=====

E_tot (eV per atom)
-3.39 -2.52 -3.05